First-principles (PBE) data for an optimized crystal structure of BeSI2O, as listed in Alexandria.

Cell lengths 5.2454, 5.2454, 4.0068 Å; angles 90.00, 90.00, 90.00 degrees
Space group P4/mmm (No. 123)
Inequivalent atoms, fractional coordinates:
1 Be 0.0000 0.0000 0.0000
2 S 0.0000 0.0000 0.5000
3 I 0.0000 0.5000 0.0000
4 O 0.5000 0.5000 0.5000

Calculated values
total moment = 0.00 μB per cell
raw formation energy = 757 meV per atom
total energy = -2.43 eV per atom